Entry 1:
{
  "formula": "CaPr5Dy2",
  "functional": "PBE",
  "state": "relaxed",
  "lattice_angstrom": [[-3.050, 5.862, 8.183], [3.050, -5.862, 8.183], [3.050, 5.862, -8.183]],
  "species": ["Ca", "Ca", "Pr", "Pr", "Pr", "Pr", "Pr", "Pr", "Pr", "Pr", "Pr", "Pr", "Dy", "Dy", "Dy", "Dy"],
  "frac_coords": [[0.345, 0.095, 0.250], [0.655, 0.905, 0.750], [0.042, 0.106, 0.936], [0.199, 0.449, 0.750], [0.276, 0.695, 0.581], [0.330, 0.894, 0.436], [0.385, 0.305, 0.081], [0.615, 0.695, 0.919], [0.670, 0.106, 0.564], [0.724, 0.305, 0.419], [0.801, 0.551, 0.250], [0.958, 0.894, 0.064], [0.000, 0.000, 0.500], [0.000, 0.500, 0.000], [0.000, 0.500, 0.500], [0.500, 0.500, 0.000]],
  "delta_e_f_ev_per_atom": 0.2311,
  "space_group": "Imma, No. 74",
  "energy_ev_per_atom": -4.1568,
  "vol_a3_per_cell": 585.17
}

=====

Entry 2:
{
  "formula": "TmHgPd5",
  "functional": "PBE",
  "state": "relaxed",
  "lattice_angstrom": [[3.983, 0.000, 0.000], [0.000, 3.983, 0.000], [0.000, 0.000, 8.227]],
  "species": ["Tm", "Hg", "Pd", "Pd", "Pd", "Pd", "Pd"],
  "frac_coords": [[0.000, 0.000, 0.000], [0.500, 0.500, 0.500], [0.000, 0.000, 0.500], [0.000, 0.500, 0.244], [0.000, 0.500, 0.756], [0.500, 0.000, 0.244], [0.500, 0.000, 0.756]],
  "relative_energy_mev_per_atom": 72,
  "delta_e_f_ev_per_atom": -0.3483,
  "space_group": "P4/mmm, No. 123",
  "energy_ev_per_atom": -4.7394,
  "vol_a3_per_cell": 130.50
}

=====

Entry 3:
{
  "formula": "AlCrRu2",
  "functional": "PBE",
  "state": "relaxed",
  "lattice_angstrom": [[2.971, 0.000, 0.000], [0.000, 2.971, 0.000], [0.000, 0.000, 6.036]],
  "species": ["Al", "Cr", "Ru", "Ru"],
  "frac_coords": [[0.000, 0.000, 0.000], [0.000, 0.000, 0.500], [0.500, 0.500, 0.254], [0.500, 0.500, 0.746]],
  "delta_e_f_ev_per_atom": -0.3631,
  "space_group": "P4/mmm, No. 123",
  "energy_ev_per_atom": -8.3426,
  "vol_a3_per_cell": 53.30
}

=====

Entry 4:
{
  "formula": "SmYTm5Sc2",
  "functional": "PBE",
  "state": "relaxed",
  "lattice_angstrom": [[2.768, -10.675, 0.000], [2.768, 10.675, 0.000], [0.000, 0.000, 9.233]],
  "species": ["Sm", "Sm", "Y", "Y", "Tm", "Tm", "Tm", "Tm", "Tm", "Tm", "Tm", "Tm", "Tm", "Tm", "Sc", "Sc", "Sc", "Sc"],
  "frac_coords": [[0.186, 0.814, 0.500], [0.814, 0.186, 0.000], [0.403, 0.597, 0.099], [0.597, 0.403, 0.599], [0.008, 0.992, 0.496], [0.264, 0.736, 0.181], [0.309, 0.691, 0.796], [0.392, 0.608, 0.472], [0.468, 0.532, 0.769], [0.532, 0.468, 0.269], [0.608, 0.392, 0.972], [0.691, 0.309, 0.296], [0.736, 0.264, 0.681], [0.992, 0.008, 0.996], [0.113, 0.887, 0.195], [0.142, 0.858, 0.825], [0.858, 0.142, 0.325], [0.887, 0.113, 0.695]],
  "delta_e_f_ev_per_atom": 0.1756,
  "space_group": "Cmc2_1, No. 36",
  "energy_ev_per_atom": -4.9581,
  "vol_a3_per_cell": 545.54
}

=====

Entry 5:
{
  "formula": "BaY2Sc",
  "functional": "PBE",
  "state": "relaxed",
  "lattice_angstrom": [[-2.606, 2.606, 5.081], [2.606, -2.606, 5.081], [2.606, 2.606, -5.081]],
  "species": ["Ba", "Y", "Y", "Sc"],
  "frac_coords": [[0.000, 0.000, 0.000], [0.250, 0.750, 0.500], [0.750, 0.250, 0.500], [0.500, 0.500, 0.000]],
  "relative_energy_mev_per_atom": 153,
  "delta_e_f_ev_per_atom": 0.3059,
  "space_group": "I4/mmm, No. 139",
  "energy_ev_per_atom": -4.9897,
  "vol_a3_per_cell": 138.08
}

=====

Entry 6:
{
  "formula": "Ce2SmBe2Pt7",
  "functional": "PBE",
  "state": "relaxed",
  "lattice_angstrom": [[2.917, -3.313, 0.000], [2.917, 3.313, 0.000], [-2.545, 0.000, 11.629]],
  "species": ["Ce", "Ce", "Sm", "Be", "Be", "Pt", "Pt", "Pt", "Pt", "Pt", "Pt", "Pt"],
  "frac_coords": [[0.193, 0.193, 0.380], [0.807, 0.807, 0.620], [0.000, 0.000, 0.000], [0.302, 0.302, 0.813], [0.698, 0.698, 0.187], [0.167, 0.596, 0.190], [0.304, 0.304, 0.623], [0.404, 0.833, 0.810], [0.500, 0.500, 0.000], [0.596, 0.167, 0.190], [0.696, 0.696, 0.377], [0.833, 0.404, 0.810]],
  "delta_e_f_ev_per_atom": -0.8792,
  "space_group": "C2/m, No. 12",
  "energy_ev_per_atom": -6.4063,
  "vol_a3_per_cell": 224.82
}

=====

Entry 7:
{
  "formula": "CoTc",
  "functional": "PBE",
  "state": "relaxed",
  "lattice_angstrom": [[3.029, 0.000, 0.000], [0.000, 3.029, 0.000], [0.000, 0.000, 5.598]],
  "species": ["Co", "Co", "Tc", "Tc"],
  "frac_coords": [[0.250, 0.250, 0.091], [0.750, 0.750, 0.909], [0.250, 0.250, 0.634], [0.750, 0.750, 0.366]],
  "relative_energy_mev_per_atom": 189,
  "delta_e_f_ev_per_atom": 0.1414,
  "space_group": "P4/nmm, No. 129",
  "energy_ev_per_atom": -8.5946,
  "vol_a3_per_cell": 51.36
}

=====

Entry 8:
{
  "formula": "YCo2Ni",
  "functional": "PBE",
  "state": "relaxed",
  "lattice_angstrom": [[3.122, 0.000, 0.000], [0.000, 3.122, 0.000], [0.000, 0.000, 6.180]],
  "species": ["Y", "Co", "Co", "Ni"],
  "frac_coords": [[0.000, 0.000, 0.000], [0.000, 0.000, 0.495], [0.500, 0.500, 0.321], [0.500, 0.500, 0.707]],
  "delta_e_f_ev_per_atom": 0.0758,
  "space_group": "P4mm, No. 99",
  "energy_ev_per_atom": -6.5385,
  "vol_a3_per_cell": 60.22
}

=====

Entry 9:
{
  "formula": "BeFeSi2",
  "functional": "PBE",
  "state": "relaxed",
  "lattice_angstrom": [[2.569, 0.000, 0.000], [0.000, 2.569, 0.000], [0.000, 0.000, 6.780]],
  "species": ["Be", "Fe", "Si", "Si"],
  "frac_coords": [[0.000, 0.000, 0.000], [0.000, 0.000, 0.500], [0.500, 0.500, 0.267], [0.500, 0.500, 0.733]],
  "e_form_raw_mev_per_atom": 68,
  "space_group": "P4/mmm, No. 123",
  "energy_ev_per_atom": -5.6907,
  "vol_a3_per_cell": 44.73
}

=====

Entry 10:
{
  "formula": "Nd3GeB2Rh9",
  "functional": "PBE",
  "state": "relaxed",
  "lattice_angstrom": [[6.166, 0.000, 0.000], [-3.083, 5.340, 0.000], [0.000, 0.000, 7.613]],
  "species": ["Nd", "Nd", "Nd", "Ge", "B", "B", "Rh", "Rh", "Rh", "Rh", "Rh", "Rh", "Rh", "Rh", "Rh"],
  "frac_coords": [[0.000, 0.000, 0.000], [0.333, 0.667, 0.664], [0.667, 0.333, 0.336], [0.000, 0.000, 0.500], [0.333, 0.667, 0.145], [0.667, 0.333, 0.855], [0.000, 0.500, 0.000], [0.178, 0.357, 0.313], [0.178, 0.822, 0.313], [0.357, 0.178, 0.687], [0.500, 0.000, 0.000], [0.500, 0.500, 0.000], [0.643, 0.822, 0.313], [0.822, 0.178, 0.687], [0.822, 0.643, 0.687]],
  "delta_e_f_ev_per_atom": -0.6434,
  "space_group": "P-3m1, No. 164",
  "energy_ev_per_atom": -7.2060,
  "vol_a3_per_cell": 250.65
}

=====

Entry 11:
{
  "formula": "SiRuBr",
  "functional": "PBE",
  "state": "relaxed",
  "lattice_angstrom": [[-1.580, 1.580, 6.032], [1.580, -1.580, 6.032], [1.580, 1.580, -6.032]],
  "species": ["Si", "Ru", "Br"],
  "frac_coords": [[0.000, 0.000, 0.000], [0.425, 0.425, 0.000], [0.760, 0.760, 0.000]],
  "e_form_raw_mev_per_atom": 314,
  "relative_energy_mev_per_atom": 242,
  "space_group": "I4mm, No. 107",
  "energy_ev_per_atom": -5.1428,
  "vol_a3_per_cell": 60.25
}

=====

Entry 12:
{
  "formula": "Mn2AsPt",
  "functional": "PBE",
  "state": "relaxed",
  "lattice_angstrom": [[3.886, 0.000, 0.000], [0.000, 3.886, 0.000], [0.000, 0.000, 3.803]],
  "species": ["Mn", "Mn", "As", "Pt"],
  "frac_coords": [[0.000, 0.500, 0.000], [0.500, 0.000, 0.000], [0.000, 0.000, 0.500], [0.500, 0.500, 0.500]],
  "relative_energy_mev_per_atom": 67,
  "delta_e_f_ev_per_atom": -0.0840,
  "space_group": "P4/mmm, No. 123",
  "energy_ev_per_atom": -7.3414,
  "vol_a3_per_cell": 57.42
}

=====

Entry 13:
{
  "formula": "K3SiS4",
  "functional": "PBE",
  "state": "relaxed",
  "lattice_angstrom": [[-2.332, 3.527, 7.220], [2.332, -3.527, 7.220], [2.332, 3.527, -7.220]],
  "species": ["K", "K", "K", "Si", "S", "S", "S", "S"],
  "frac_coords": [[0.000, 0.000, 0.000], [0.282, 0.782, 0.500], [0.718, 0.218, 0.500], [0.500, 0.500, 0.000], [0.175, 0.394, 0.781], [0.388, 0.606, 0.781], [0.612, 0.394, 0.219], [0.825, 0.606, 0.219]],
  "e_form_raw_mev_per_atom": -791,
  "relative_energy_mev_per_atom": 207,
  "space_group": "Immm, No. 71",
  "energy_ev_per_atom": -3.9441,
  "vol_a3_per_cell": 237.59
}

=====

Entry 14:
{
  "formula": "Be2ZnSe",
  "functional": "PBE",
  "state": "relaxed",
  "lattice_angstrom": [[3.406, 0.000, 0.000], [0.000, 1.719, 5.340], [0.000, -1.719, 5.340]],
  "species": ["Be", "Be", "Zn", "Se"],
  "frac_coords": [[0.000, 0.000, 0.000], [0.500, 0.488, 0.488], [0.000, 0.645, 0.645], [0.500, 0.855, 0.855]],
  "e_form_raw_mev_per_atom": 102,
  "relative_energy_mev_per_atom": 20,
  "space_group": "Amm2, No. 38",
  "energy_ev_per_atom": -2.9508,
  "vol_a3_per_cell": 62.53
}

=====

Entry 15:
{
  "formula": "BaReAg2",
  "functional": "PBE",
  "state": "relaxed",
  "lattice_angstrom": [[5.379, 0.000, 0.000], [0.000, 5.379, 0.000], [0.000, 0.000, 3.014]],
  "species": ["Ba", "Re", "Ag", "Ag"],
  "frac_coords": [[0.000, 0.000, 0.000], [0.500, 0.500, 0.000], [0.000, 0.500, 0.500], [0.500, 0.000, 0.500]],
  "relative_energy_mev_per_atom": 161,
  "delta_e_f_ev_per_atom": 0.9596,
  "space_group": "P4/mmm, No. 123",
  "energy_ev_per_atom": -4.0587,
  "vol_a3_per_cell": 87.23
}

=====

Entry 16:
{
  "formula": "La2TiHg2",
  "functional": "PBE",
  "state": "relaxed",
  "lattice_angstrom": [[7.531, 0.000, 0.000], [0.000, 7.531, 0.000], [0.000, 0.000, 4.959]],
  "species": ["La", "La", "La", "La", "Ti", "Ti", "Hg", "Hg", "Hg", "Hg"],
  "frac_coords": [[0.173, 0.327, 0.000], [0.327, 0.827, 0.000], [0.673, 0.173, 0.000], [0.827, 0.673, 0.000], [0.000, 0.000, 0.500], [0.500, 0.500, 0.500], [0.141, 0.641, 0.500], [0.359, 0.141, 0.500], [0.641, 0.859, 0.500], [0.859, 0.359, 0.500]],
  "delta_e_f_ev_per_atom": -0.1051,
  "space_group": "P4/mbm, No. 127",
  "energy_ev_per_atom": -3.7758,
  "vol_a3_per_cell": 281.29
}

=====

Entry 17:
{
  "formula": "RbTiSn2Cl8",
  "functional": "PBE",
  "state": "relaxed",
  "lattice_angstrom": [[6.716, 0.000, 0.000], [0.626, 7.883, 0.000], [0.502, 3.529, 7.808]],
  "species": ["Rb", "Ti", "Sn", "Sn", "Cl", "Cl", "Cl", "Cl", "Cl", "Cl", "Cl", "Cl"],
  "frac_coords": [[0.000, 0.000, 0.000], [0.000, 0.000, 0.500], [0.499, 0.305, 0.261], [0.501, 0.695, 0.739], [0.123, 0.237, 0.220], [0.175, 0.762, 0.444], [0.298, 0.049, 0.634], [0.413, 0.698, 0.039], [0.587, 0.302, 0.961], [0.702, 0.951, 0.366], [0.825, 0.238, 0.556], [0.877, 0.763, 0.780]],
  "e_form_raw_mev_per_atom": -1361,
  "space_group": "P-1, No. 2",
  "energy_ev_per_atom": -3.9974,
  "vol_a3_per_cell": 413.42
}

=====

Entry 18:
{
  "formula": "Tl2InPbBr6",
  "functional": "PBE",
  "state": "relaxed",
  "lattice_angstrom": [[4.008, 2.314, 6.872], [-4.008, 2.314, 6.872], [0.000, -4.628, 6.872]],
  "species": ["Tl", "Tl", "In", "Pb", "Br", "Br", "Br", "Br", "Br", "Br"],
  "frac_coords": [[0.000, 0.000, 0.000], [0.500, 0.500, 0.500], [0.290, 0.290, 0.290], [0.790, 0.790, 0.790], [0.063, 0.629, 0.445], [0.140, 0.550, 0.955], [0.445, 0.063, 0.629], [0.550, 0.955, 0.140], [0.629, 0.445, 0.063], [0.955, 0.140, 0.550]],
  "e_form_raw_mev_per_atom": -809,
  "space_group": "R3, No. 146",
  "energy_ev_per_atom": -2.9306,
  "vol_a3_per_cell": 382.43
}

=====

Entry 19:
{
  "formula": "LiTaSn2",
  "functional": "PBE",
  "state": "relaxed",
  "lattice_angstrom": [[-3.676, 3.676, 3.072], [3.676, -3.676, 3.072], [3.676, 3.676, -3.072]],
  "species": ["Li", "Li", "Ta", "Ta", "Sn", "Sn", "Sn", "Sn"],
  "frac_coords": [[0.000, 0.000, 0.000], [0.750, 0.250, 0.500], [0.250, 0.750, 0.500], [0.500, 0.500, 0.000], [0.099, 0.625, 0.974], [0.375, 0.349, 0.474], [0.651, 0.125, 0.026], [0.875, 0.901, 0.526]],
  "relative_energy_mev_per_atom": 466,
  "delta_e_f_ev_per_atom": 0.4008,
  "space_group": "I-42d, No. 122",
  "energy_ev_per_atom": -5.0422,
  "vol_a3_per_cell": 166.05
}

=====

Entry 20:
{
  "formula": "CsPdBr3",
  "functional": "PBE",
  "state": "relaxed",
  "lattice_angstrom": [[8.256, 0.000, 0.000], [0.000, 7.528, 0.000], [-1.840, 0.000, 13.053]],
  "species": ["Cs", "Cs", "Cs", "Cs", "Pd", "Pd", "Pd", "Pd", "Br", "Br", "Br", "Br", "Br", "Br", "Br", "Br", "Br", "Br", "Br", "Br"],
  "frac_coords": [[0.143, 0.204, 0.163], [0.143, 0.296, 0.663], [0.857, 0.704, 0.337], [0.857, 0.796, 0.837], [0.401, 0.664, 0.074], [0.401, 0.836, 0.574], [0.599, 0.164, 0.426], [0.599, 0.336, 0.926], [0.116, 0.722, 0.101], [0.116, 0.778, 0.601], [0.317, 0.086, 0.453], [0.317, 0.414, 0.953], [0.497, 0.089, 0.815], [0.497, 0.411, 0.315], [0.503, 0.589, 0.685], [0.503, 0.911, 0.185], [0.683, 0.586, 0.047], [0.683, 0.914, 0.547], [0.884, 0.222, 0.399], [0.884, 0.278, 0.899]],
  "e_form_raw_mev_per_atom": -910,
  "space_group": "P2_1/c, No. 14",
  "energy_ev_per_atom": -3.1233,
  "vol_a3_per_cell": 811.22
}

=====

Entry 21:
{
  "formula": "GeP3O",
  "functional": "PBE",
  "state": "relaxed",
  "lattice_angstrom": [[4.224, 0.000, 0.000], [0.000, 4.224, 0.000], [0.000, 0.000, 4.224]],
  "species": ["Ge", "P", "P", "P", "O"],
  "frac_coords": [[0.000, 0.000, 0.000], [0.000, 0.500, 0.500], [0.500, 0.000, 0.500], [0.500, 0.500, 0.000], [0.500, 0.500, 0.500]],
  "e_form_raw_mev_per_atom": 601,
  "relative_energy_mev_per_atom": 0,
  "space_group": "Pm-3m, No. 221",
  "energy_ev_per_atom": -4.5596,
  "vol_a3_per_cell": 75.35
}

=====

Entry 22:
{
  "formula": "Al4Ag",
  "functional": "PBE",
  "state": "relaxed",
  "lattice_angstrom": [[2.850, 0.000, 0.000], [-0.005, 4.145, 0.000], [-1.351, -2.037, 7.119]],
  "species": ["Al", "Al", "Al", "Al", "Ag"],
  "frac_coords": [[0.103, 0.101, 0.203], [0.298, 0.299, 0.598], [0.702, 0.701, 0.402], [0.897, 0.899, 0.797], [0.500, 0.500, 0.000]],
  "relative_energy_mev_per_atom": 10,
  "delta_e_f_ev_per_atom": 0.0006,
  "space_group": "P-1, No. 2",
  "energy_ev_per_atom": -3.5637,
  "vol_a3_per_cell": 84.08
}

=====

Entry 23:
{
  "formula": "Sr3Tl2H",
  "functional": "PBE",
  "state": "relaxed",
  "lattice_angstrom": [[6.352, -3.726, 0.000], [6.352, 3.726, 0.000], [-2.565, 0.000, 8.081]],
  "species": ["Sr", "Sr", "Sr", "Sr", "Sr", "Sr", "Tl", "Tl", "Tl", "Tl", "H", "H"],
  "frac_coords": [[0.093, 0.907, 0.750], [0.285, 0.466, 0.040], [0.466, 0.285, 0.540], [0.534, 0.715, 0.460], [0.715, 0.534, 0.960], [0.907, 0.093, 0.250], [0.003, 0.382, 0.648], [0.382, 0.003, 0.148], [0.618, 0.997, 0.852], [0.997, 0.618, 0.352], [0.413, 0.587, 0.750], [0.587, 0.413, 0.250]],
  "space_group": "C2/c, No. 15",
  "energy_ev_per_atom": -2.5143,
  "vol_a3_per_cell": 382.53
}

=====

Entry 24:
{
  "formula": "ErCdAgSn",
  "functional": "PBE",
  "state": "relaxed",
  "lattice_angstrom": [[0.000, 3.585, 3.585], [3.585, 0.000, 3.585], [3.585, 3.585, 0.000]],
  "species": ["Er", "Cd", "Ag", "Sn"],
  "frac_coords": [[0.000, 0.000, 0.000], [0.500, 0.500, 0.500], [0.250, 0.250, 0.250], [0.750, 0.750, 0.750]],
  "relative_energy_mev_per_atom": 85,
  "delta_e_f_ev_per_atom": -0.2723,
  "space_group": "F-43m, No. 216",
  "energy_ev_per_atom": -3.3553,
  "vol_a3_per_cell": 92.17
}